1.
Crystalline Sr2AgPd2 at its relaxed geometry, computed with PBE.

Cell lengths 8.7941, 8.7941, 3.4315 Å; angles 90.00, 90.00, 90.00 degrees
With the nearest neighbours (Å) after each atom.
Space group P4/mbm (No. 127)
Symmetry-distinct sites (fractional):
Sr (0.1727, 0.3273, 0.0000)  6 Pd 3.11-3.12, 2 Ag 3.25, 2 Sr 3.43
Ag (0.0000, 0.0000, 0.0000)  4 Sr 3.25, 2 Ag 3.43
Pd (0.1189, 0.6189, 0.5000)  1 Pd 2.96, 6 Sr 3.11-3.12

Values from the calculation:
ΔH_f (0 K)   -0.18 eV per atom
Polymorph energy (0 for the lowest one)   0.367 eV/atom

2.
Crystalline Sr2AgPd2 at its relaxed geometry, computed with PBE.

Cell lengths 7.6695, 7.6695, 4.3153 Å; angles 90.00, 90.00, 90.00 degrees
With the nearest neighbours (Å) after each atom.
Space group P4/mbm (No. 127)
Symmetry-distinct sites (fractional):
Sr (0.1746, 0.3254, 0.0000)  6 Pd 3.04-3.19
Ag (0.0000, 0.0000, 0.5000)  4 Pd 3.02
Pd (0.1282, 0.6282, 0.5000)  1 Pd 2.78, 2 Ag 3.02, 2 Sr 3.04

Values from the calculation:
ΔH_f (0 K)   -0.47 eV per atom
Polymorph energy (0 for the lowest one)   0.071 eV/atom

polymorph energy (0 for the lowest one) of number 1 (Sr2AgPd2)? 0.367 eV/atom

polymorph energy (0 for the lowest one) of number 2 (Sr2AgPd2)? 0.071 eV/atom